Entry 1:
Below is a relaxed PmHo2Tm5Th crystal, with properties calculated at the PBE-GGA level.

Uncorrected energy ... -4.54 eV/atom
Volume ... 564.6 Å³ per cell
DFT formation energy ... 30.60 kJ/mol of atoms
Symmetry ... No. 140

The structure in POSCAR format:
```
PmHo2Tm5Th
1.0
8.7218 0.0000 0.0000
0.0000 8.7218 0.0000
-4.3609 -4.3609 7.4225
Pm Ho Tm Th
2 4 10 2
Direct
0.2500 0.7500 0.5000
0.7500 0.2500 0.5000
0.1143 0.3857 0.0000
0.6143 0.1143 0.0000
0.3857 0.8857 0.0000
0.8857 0.6143 0.0000
0.9273 0.4273 0.2706
0.6567 0.1567 0.7294
0.0727 0.5727 0.7294
0.1567 0.0727 0.7294
0.5727 0.6567 0.7294
0.8433 0.9273 0.2706
0.4273 0.3433 0.2706
0.3433 0.8433 0.2706
0.5000 0.5000 0.0000
0.0000 0.0000 0.0000
0.2500 0.2500 0.5000
0.7500 0.7500 0.5000
```

---

Entry 2:
Below is a relaxed Pr2AlSi crystal, with properties calculated at the PBE-GGA level.

Uncorrected energy ... -5.27 eV/atom
Volume ... 105.8 Å³ per cell
Uncorrected formation energy ... -2.362 eV per formula unit
Symmetry ... No. 38

The structure in POSCAR format:
```
Pr2AlSi
1.0
-1.7416 5.5615 1.9616
0.4597 -5.6579 2.3640
3.8516 0.7973 1.1592
Pr Si Al
2 1 1
Direct
0.3590 0.6410 0.0000
0.6439 0.3561 0.5000
0.9308 0.0692 0.5000
0.0663 0.9337 0.0000
```

---

Entry 3:
Below is a relaxed Zr2PtCl crystal, with properties calculated at the PBE-GGA level.

Uncorrected energy ... -6.88 eV/atom
Volume ... 76.7 Å³ per cell
Uncorrected formation energy ... -2.542 eV per formula unit
Symmetry ... No. 71
ΔE to the lowest computed polymorph ... 249 meV/atom

The structure in POSCAR format:
```
Zr2PtCl
1.0
-1.5791 -2.9388 -3.5116
-1.8250 -3.1712 3.1739
-1.1317 4.6747 -0.5721
Cl Pt Zr
1 1 2
Direct
0.2500 0.7500 0.5000
0.7500 0.2500 0.5000
0.0106 0.0106 0.0000
0.4894 0.4894 0.0000
```

---

Entry 4:
Below is a relaxed SrRe3 crystal, with properties calculated at the PBE-GGA level.

Uncorrected energy ... -8.70 eV/atom
Volume ... 69.1 Å³ per cell
DFT formation energy ... 102.02 kJ/mol of atoms
Symmetry ... No. 225
ΔE to the lowest computed polymorph ... 335 meV/atom

The structure in POSCAR format:
```
SrRe3
1.0
4.6065 -0.0017 -0.0003
-0.0024 4.6056 -0.0003
-2.3022 -2.3022 3.2588
Re Sr
3 1
Direct
0.2500 0.7499 0.4999
0.5000 0.5000 0.0000
0.7500 0.2501 0.5001
0.0000 0.0000 0.0000
```

---

Entry 5:
Below is a relaxed ThSc2Tl2 crystal, with properties calculated at the PBE-GGA level.

Uncorrected energy ... -4.95 eV/atom
Volume ... 144.9 Å³ per cell
DFT formation energy ... 1.66 kJ/mol of atoms
Symmetry ... No. 164

The structure in POSCAR format:
```
ThSc2Tl2
1.0
5.1255 0.0000 0.0000
-2.5628 4.4388 0.0000
0.0000 0.0000 6.3678
Th Sc Tl
1 2 2
Direct
0.0000 0.0000 0.0000
0.3333 0.6667 0.6726
0.6667 0.3333 0.3274
0.3333 0.6667 0.2160
0.6667 0.3333 0.7840
```